Computed, not measured: crystalline Ba3Be2CrO6 at its relaxed geometry at the GGA+U level of DFT.

total magnetic moment = 3.8 μB/cell
volume = 191.6 Å³/cell
uncorrected energy = -78.6 eV per cell
Fermi-level density of states = 2.290 states/eV per cell
crystal system = trigonal
space-group type = P-3m1, No. 164

Lattice parameters (Å, degrees): 5.612 5.612 7.024 90.00 90.00 120.00
Sites, in units of the cell vectors:
Ba 0.000 0.000 0.000
Ba 0.333 0.667 0.679
Ba 0.667 0.333 0.321
Be 0.333 0.667 0.286
Be 0.667 0.333 0.714
Cr 0.000 0.000 0.500
O 0.173 0.346 0.316
O 0.173 0.827 0.316
O 0.346 0.173 0.684
O 0.654 0.827 0.316
O 0.827 0.173 0.684
O 0.827 0.654 0.684